Record 1
The following is a PBE-GGA calculation of an optimized crystal structure of Pa3Sn4Pt3, from Alexandria.

Unit cell a=9.745 b=9.745 c=9.745 alpha=90.00 beta=90.00 gamma=90.00
Space group I-43d (No. 220)
One atom of each set of equivalent atoms:
1 Pa 0.000 0.250 0.875 x12
2 Sn 0.090 0.410 0.590 x16
3 Pt 0.000 0.250 0.375 x12

Calculated values
The value obtained for the volume is 231 Å³/f.u. The calculation puts the density of states at the Fermi level at 52.759 states/eV/cell. The uncorrected energy is -7.02 eV per atom. The calculated formation energy is -0.76 eV/atom.

---

Record 2
The following is a PBE-GGA calculation of an optimized crystal structure of PaSn2Pt, from Alexandria.

Unit cell a=4.546 b=4.546 c=9.036 alpha=90.00 beta=90.00 gamma=90.00
Space group P4/nmm (No. 129, origin choice 2)
One atom of each set of equivalent atoms:
1 Pa 0.250 0.250 0.215 x2
2 Sn 0.250 0.250 0.800 x2
3 Sn 0.250 0.750 0.500 x2
4 Pt 0.250 0.750 0.000 x2

Calculated values
The value obtained for the volume is 93 Å³/f.u. The calculation puts the density of states at the Fermi level at 8.299 states/eV/cell. The uncorrected energy is -6.41 eV per atom. As for the relative energy among the computed polymorphs: 0.00 eV/f.u. The calculated formation energy is -0.52 eV/atom.

---

Record 3
The following is a PBE-GGA calculation of an optimized crystal structure of UPaSnPt, from Alexandria.

Unit cell a=7.100 b=7.100 c=7.100 alpha=90.00 beta=90.00 gamma=90.00
Space group F-43m (No. 216)
One atom of each set of equivalent atoms:
1 U 0.000 0.000 0.000 x4
2 Pa 0.250 0.250 0.250 x4
3 Sn 0.250 0.250 0.750 x4
4 Pt 0.000 0.000 0.500 x4

Calculated values
The value obtained for the volume is 89 Å³/f.u. The calculation puts the density of states at the Fermi level at 31.276 states/eV/cell. The uncorrected energy is -7.76 eV per atom. The calculated formation energy is -0.05 eV/atom.

---

Record 4
The following is a PBE-GGA calculation of an optimized crystal structure of PaVSnPt, from Alexandria.

Unit cell a=6.798 b=6.798 c=6.798 alpha=90.00 beta=90.00 gamma=90.00
Space group F-43m (No. 216)
One atom of each set of equivalent atoms:
1 Pa 0.000 0.000 0.000 x4
2 V 0.250 0.250 0.250 x4
3 Sn 0.000 0.000 0.500 x4
4 Pt 0.250 0.250 0.750 x4

Calculated values
The value obtained for the volume is 79 Å³/f.u. The calculation puts the density of states at the Fermi level at 19.128 states/eV/cell. The uncorrected energy is -7.37 eV per atom. The calculated formation energy is -0.20 eV/atom.

---

Record 5
The following is a PBE-GGA calculation of an optimized crystal structure of SrPaPt2, from Alexandria.

Unit cell a=4.0367 b=4.0367 c=22.5618 alpha=90.00 beta=90.00 gamma=120.00
Space group R3m (No. 160, hexagonal axes)
One atom of each set of equivalent atoms:
1 Sr 0.0000 0.0000 0.0000 x3
2 Pa 0.0000 0.0000 0.8294 x3
3 Pt 0.0000 0.0000 0.2331 x3
4 Pt 0.0000 0.0000 0.4267 x3

Calculated values
The value obtained for the volume is 106 Å³/f.u. The calculation puts the density of states at the Fermi level at 9.200 states/eV/cell. The uncorrected energy is -6.69 eV per atom. As for the relative energy among the computed polymorphs: 0.12 eV/f.u. The calculated formation energy is -0.88 eV/atom.

---

Record 6
The following is a PBE-GGA calculation of an optimized crystal structure of Sr2PaPt3, from Alexandria.

Unit cell a=13.527 b=9.056 c=5.434 alpha=90.00 beta=90.00 gamma=90.00
Space group Cmcm (No. 63)
One atom of each set of equivalent atoms:
1 Sr 0.156 0.166 0.250 x8
2 Pa 0.000 0.367 0.750 x4
3 Pt 0.000 0.082 0.750 x4
4 Pt 0.154 0.500 0.000 x8

Calculated values
The value obtained for the volume is 166 Å³/f.u. The calculation puts the density of states at the Fermi level at 14.622 states/eV/cell. The uncorrected energy is -5.97 eV per atom. As for the relative energy among the computed polymorphs: 0.21 eV/f.u. The calculated formation energy is -0.81 eV/atom.